VASP calculation (GGA-PBE) on a relaxed KAl2H7 crystal.

Cell lengths 5.688, 5.688, 3.514 Å; angles 90.00, 90.00, 123.90 degrees
Atoms (fractional coordinates):
K1 0.000 0.000 0.000
Al1 0.312 0.688 0.500
Al2 0.688 0.312 0.500
H1 0.038 0.337 0.500
H2 0.300 0.700 0.000
H3 0.337 0.038 0.500
H4 0.500 0.500 0.500
H5 0.663 0.962 0.500
H6 0.700 0.300 0.000
H7 0.962 0.663 0.500

SG	Cmmm (65)
E_tot	-0.11920	hartree per atom